The following is a PBE-GGA calculation of TiBeSi after structural relaxation, from Alexandria.

Formation energy from raw total energies ... 0.08 eV/atom
Total magnetization ... 0.0 μB/f.u.
Fermi-level density of states ... 1.0133 states/eV/atom
E ... -16.790 eV per formula unit

a b c (Å): 3.4218 3.4218 4.3287
angles (deg): 113.28 113.28 90.00
With the nearest neighbours (Å) after each atom.
Sites, in units of the cell vectors:
1 Ti 0.6175 0.6175 0.2350  5 Si 2.50-2.65, 5 Be 2.52-2.65
2 Si 0.9659 0.9659 0.9318  1 Be 2.16
3 Be 0.2666 0.2666 0.5332  1 Si 2.16

---

The following is a PBE-GGA calculation of U2Si3Ni4Rh after structural relaxation, from Alexandria.

Formation energy from raw total energies ... -0.52 eV/atom
Total magnetization ... 3.1 μB/f.u.
Fermi-level density of states ... 1.3805 states/eV/atom
E ... -74.483 eV per formula unit

a b c (Å): 3.7550 3.7550 10.5638
angles (deg): 90.00 90.00 90.00
With the nearest neighbours (Å) after each atom.
Sites, in units of the cell vectors:
1 Si 0.0000 0.5000 0.1223  5 Ni 2.28
2 Si 0.5000 0.0000 0.8777  5 Ni 2.28
3 Si 0.0000 0.0000 0.5000  4 Ni 2.54, 4 Rh 2.66
4 U 0.5000 0.0000 0.2526  4 Ni 2.80, 4 Si 2.99
5 U 0.0000 0.5000 0.7474  4 Ni 2.80, 4 Si 2.99
6 Rh 0.5000 0.5000 0.5000  4 Ni 2.54, 4 Si 2.66
7 Ni 0.5000 0.0000 0.6620  3 Si 2.28-2.54, 2 Rh 2.54
8 Ni 0.5000 0.5000 0.0000  4 Si 2.28
9 Ni 0.0000 0.5000 0.3380  3 Si 2.28-2.54, 2 Rh 2.54
10 Ni 0.0000 0.0000 0.0000  4 Si 2.28

---

The following is a PBE-GGA calculation of AgCl4 after structural relaxation, from Alexandria.

Formation energy from raw total energies ... -0.05 eV/atom
Total magnetization ... 0.0 μB/f.u.
Polymorph energy (0 for the lowest one) ... 30 meV/atom
Fermi-level density of states ... 0.4509 states/eV/atom
E ... -10.500 eV per formula unit

a b c (Å): 6.0117 5.4006 5.8002
angles (deg): 99.02 90.00 123.82
With the nearest neighbours (Å) after each atom.
Sites, in units of the cell vectors:
1 Cl 0.1228 0.2456 0.6593  1 Ag 2.44, 2 Cl 2.45-2.60
2 Cl 0.8772 0.7544 0.3407  1 Ag 2.44, 2 Cl 2.45-2.60
3 Cl 0.6122 0.2243 0.1346  2 Cl 2.30-2.45
4 Cl 0.3878 0.7757 0.8654  2 Cl 2.30-2.45
5 Ag 0.0000 0.0000 0.0000  2 Cl 2.44

---

The following is a PBE-GGA calculation of TaCdTe2 after structural relaxation, from Alexandria.

Formation energy from raw total energies ... 0.04 eV/atom
Total magnetization ... 0.0 μB/f.u.
Fermi-level density of states ... 0.8544 states/eV/atom
E ... -18.884 eV per formula unit

a b c (Å): 7.6122 7.6122 7.6122
angles (deg): 154.85 140.81 47.14
With the nearest neighbours (Å) after each atom.
Sites, in units of the cell vectors:
1 Cd 0.7500 0.2500 0.5000  4 Ta 3.04, 2 Cd 3.31, 4 Te 3.38
2 Ta 0.2500 0.7500 0.5000  4 Te 2.77, 4 Cd 3.04
3 Te 0.0910 0.0910 0.0000  2 Ta 2.77
4 Te 0.4090 0.4090 0.0000  2 Ta 2.77

---

The following is a PBE-GGA calculation of Cs3La3PaO8 after structural relaxation, from Alexandria.

Formation energy from raw total energies ... -2.80 eV/atom
Total magnetization ... 0.4 μB/f.u.
Fermi-level density of states ... 0.2852 states/eV/atom
E ... -108.527 eV per formula unit

a b c (Å): 7.4606 7.4592 8.3321
angles (deg): 116.60 90.00 120.00
With the nearest neighbours (Å) after each atom.
Sites, in units of the cell vectors:
1 O 0.7453 0.9472 0.6490  1 Pa 2.24, 2 La 2.49
2 O 0.2547 0.0528 0.3510  1 Pa 2.24, 2 La 2.49
3 O 0.2815 0.5630 0.3445  3 La 2.42
4 O 0.7185 0.4370 0.6555  3 La 2.42
5 O 0.7981 0.0528 0.3510  1 Pa 2.24, 2 La 2.49
6 O 0.2019 0.9472 0.6490  1 Pa 2.24, 2 La 2.49
7 O 0.7981 0.5963 0.3510  1 Pa 2.23, 2 La 2.49
8 O 0.2019 0.4037 0.6490  1 Pa 2.23, 2 La 2.49
9 Cs 0.5000 0.5000 0.0000  6 O 3.25-3.27
10 Cs 0.0000 0.0000 0.0000  6 O 3.25-3.27
11 Cs 0.0000 0.5000 0.0000  6 O 3.25-3.27
12 La 0.5000 0.5000 0.5000  6 O 2.42-2.49
13 La 0.5000 0.0000 0.5000  6 O 2.42-2.49
14 La 0.0000 0.5000 0.5000  6 O 2.42-2.49
15 Pa 0.0000 0.0000 0.5000  6 O 2.23-2.24

---

The following is a PBE-GGA calculation of LaP2F after structural relaxation, from Alexandria.

Formation energy from raw total energies ... -0.56 eV/atom
Total magnetization ... 0.0 μB/f.u.
Polymorph energy (0 for the lowest one) ... 976 meV/atom
Fermi-level density of states ... 0.5370 states/eV/atom
E ... -19.869 eV per formula unit

a b c (Å): 4.8156 4.8156 4.8156
angles (deg): 60.00 60.00 60.00
With the nearest neighbours (Å) after each atom.
Sites, in units of the cell vectors:
1 F 0.0000 0.0000 0.0000  8 P 2.95
2 La 0.5000 0.5000 0.5000  8 P 2.95
3 P 0.2500 0.2500 0.2500  4 F 2.95, 4 La 2.95
4 P 0.7500 0.7500 0.7500  4 La 2.95, 4 F 2.95